# 1
DFT (meta-GGA SCAN) results for a crystal of Cs3ReI relaxed with PBEsol.

Unit cell a=5.8527 b=5.8527 c=5.8527 alpha=90.00 beta=90.00 gamma=90.00
Sites, in units of the cell vectors:
Cs 0.0000 0.0000 0.5000
Cs 0.0000 0.5000 0.0000
Cs 0.5000 0.0000 0.0000
Re 0.0000 0.0000 0.0000
I 0.5000 0.5000 0.5000

## Properties
Total moment, μB/atom: 0.0928
E_form (uncorrected), eV/atom: 0.713
N(E_F), states/eV/cell: 2.91
Density, Mg/m³: 5.896


# 2
DFT (meta-GGA SCAN) results for a crystal of CsReRuI2 relaxed with PBEsol.

Unit cell a=5.3044 b=5.3044 c=5.7159 alpha=90.00 beta=90.00 gamma=90.00
Sites, in units of the cell vectors:
Cs 0.0000 0.0000 0.0000
Re 0.0000 0.0000 0.5000
Ru 0.5000 0.5000 0.0000
I 0.0000 0.5000 0.5000
I 0.5000 0.0000 0.5000

## Properties
Total moment, μB/atom: 0.3297
E_form (uncorrected), eV/atom: 1.651
N(E_F), states/eV/cell: 1.33
Density, Mg/m³: 6.959


# 3
DFT (meta-GGA SCAN) results for a crystal of Cs3Re3S4I4 relaxed with PBEsol.

Unit cell a=11.1235 b=11.1235 c=11.1235 alpha=60.00 beta=60.00 gamma=60.00
Sites, in units of the cell vectors:
Cs 0.0000 0.0000 0.5000
Cs 0.0000 0.5000 0.0000
Cs 0.0000 0.5000 0.5000
Cs 0.5000 0.0000 0.0000
Cs 0.5000 0.0000 0.5000
Cs 0.5000 0.5000 0.0000
Re 0.1171 0.1171 0.8829
Re 0.1171 0.8829 0.1171
Re 0.1171 0.8829 0.8829
Re 0.8829 0.1171 0.1171
Re 0.8829 0.1171 0.8829
Re 0.8829 0.8829 0.1171
S 0.1078 0.1078 0.1078
S 0.1078 0.1078 0.6765
S 0.1078 0.6765 0.1078
S 0.3235 0.8922 0.8922
S 0.6765 0.1078 0.1078
S 0.8922 0.3235 0.8922
S 0.8922 0.8922 0.3235
S 0.8922 0.8922 0.8922
I 0.2500 0.2500 0.2500
I 0.2927 0.2927 0.7073
I 0.2927 0.7073 0.2927
I 0.2927 0.7073 0.7073
I 0.7073 0.2927 0.2927
I 0.7073 0.2927 0.7073
I 0.7073 0.7073 0.2927
I 0.7500 0.7500 0.7500

## Properties
Total moment, μB/atom: 0.0000
E_form (uncorrected), eV/atom: -1.084
N(E_F), states/eV/cell: 0.00
Density, Mg/m³: 5.437


# 4
DFT (meta-GGA SCAN) results for a crystal of CsSbRuI2 relaxed with PBEsol.

Unit cell a=6.8348 b=6.8348 c=6.3716 alpha=90.00 beta=90.00 gamma=90.00
Sites, in units of the cell vectors:
Cs 0.0000 0.0000 0.0000
Sb 0.0000 0.0000 0.5000
Ru 0.5000 0.5000 0.5000
I 0.0000 0.5000 0.0000
I 0.5000 0.0000 0.0000

## Properties
Total moment, μB/atom: 1.0697
E_form (uncorrected), eV/atom: 1.352
N(E_F), states/eV/cell: 1.08
Density, Mg/m³: 3.401